Record 1
DFT (PBE) results for a relaxed Nd3Y3Tm crystal.

Computed properties:
- Energy above the most stable polymorph in this dataset: 0.0 kJ per mole of atoms
- Formation energy: 0.17 eV/atom
- Electronic total energy: -73.975 eV for the cell shown
- V: 489.5 Å³/cell

Lattice parameters (Å, degrees): 6.2590 6.2590 14.8725 77.85 77.85 60.00
With the nearest neighbours (Å) after each atom.
Sites, in units of the cell vectors:
Nd 0.2000 0.8689 0.3930  3 Y 3.57-3.58, 9 Nd 3.59-3.73
Nd 0.5382 0.2000 0.3930  3 Y 3.57-3.58, 9 Nd 3.59-3.73
Nd 0.8689 0.5382 0.3930  3 Y 3.57-3.58, 9 Nd 3.59-3.73
Nd 0.1311 0.4618 0.6070  3 Y 3.57-3.58, 9 Nd 3.59-3.73
Nd 0.4618 0.8000 0.6070  3 Y 3.57-3.58, 9 Nd 3.59-3.73
Nd 0.8000 0.1311 0.6070  3 Y 3.57-3.58, 9 Nd 3.59-3.73
Y 0.9361 0.2690 0.1921  2 Tm 3.47, 3 Nd 3.57-3.58, 6 Y 3.61-3.62
Y 0.6029 0.9361 0.1921  2 Tm 3.47, 3 Nd 3.57-3.58, 6 Y 3.61-3.62
Y 0.2690 0.6029 0.1921  2 Tm 3.47, 3 Nd 3.57-3.58, 6 Y 3.61-3.62
Y 0.7310 0.3971 0.8079  2 Tm 3.47, 3 Nd 3.57-3.58, 6 Y 3.61-3.62
Y 0.3971 0.0639 0.8079  2 Tm 3.47, 3 Nd 3.57-3.58, 6 Y 3.61-3.62
Y 0.0639 0.7310 0.8079  2 Tm 3.47, 3 Nd 3.57-3.58, 6 Y 3.61-3.62
Tm 0.6667 0.6667 0.9999  6 Y 3.47, 3 Tm 3.61
Tm 0.3333 0.3333 0.0001  6 Y 3.47, 3 Tm 3.61

***

Record 2
DFT (PBE) results for a relaxed BaMnP crystal.

Computed properties:
- Formation energy: 0.00 eV/atom
- Electronic total energy: -16.490 eV for the cell shown
- V: 84.4 Å³/cell

Lattice parameters (Å, degrees): 4.9240 4.9240 4.9240 60.00 60.00 60.00
With the nearest neighbours (Å) after each atom.
Sites, in units of the cell vectors:
Ba 0.0000 0.0000 0.0000  4 P 3.02
Mn 0.5000 0.5000 0.5000  4 P 3.02
P 0.2500 0.2500 0.2500  4 Mn 3.02, 4 Ba 3.02

***

Record 3
DFT (PBE) results for a relaxed Tm2Be4GePt3 crystal.

Computed properties:
- Formation energy: -0.77 eV/atom
- Electronic total energy: -54.255 eV for the cell shown
- V: 151.1 Å³/cell

Lattice parameters (Å, degrees): 3.8959 3.8959 9.9539 90.00 90.00 90.00
With the nearest neighbours (Å) after each atom.
Sites, in units of the cell vectors:
Tm 0.5000 0.0000 0.2471  8 Be 2.97-3.14, 6 Pt 3.01-3.18, 2 Ge 3.18
Tm 0.0000 0.5000 0.7529  8 Be 2.97-3.14, 6 Pt 3.01-3.18, 2 Ge 3.18
Be 0.5000 0.5000 0.0000  4 Pt 2.31
Be 0.0000 0.0000 0.0000  4 Pt 2.31
Be 0.5000 0.0000 0.6411  3 Pt 2.33-2.40, 2 Ge 2.40
Be 0.0000 0.5000 0.3589  3 Pt 2.33-2.40, 2 Ge 2.40
Ge 0.5000 0.5000 0.5000  4 Be 2.40
Pt 0.0000 0.0000 0.5000  4 Be 2.40
Pt 0.5000 0.0000 0.8749  5 Be 2.31-2.33
Pt 0.0000 0.5000 0.1251  5 Be 2.31-2.33

***

Look up the V of the second one.
84.4 Å³/cell

***

What is the formula in the second record?
BaMnP